[1]
## Gd4Si3S12 (PBE-GGA)

Data for an optimized crystal structure of Gd4Si3S12. Values from VASP.

Quantum ESPRESSO input file:
```
&SYSTEM
  ibrav = 0, nat = 38, ntyp = 3
/
ATOMIC_SPECIES
Gd 157.25 Gd.upf
Si 28.09 Si.upf
S 32.06 S.upf
CELL_PARAMETERS angstrom
-11.093 1.554 -1.652
2.830 -10.179 4.073
5.364 8.723 4.832
ATOMIC_POSITIONS crystal
Gd 0.508 0.508 0.508
Gd 0.008 0.008 0.008
Gd 0.526 0.064 0.285
Gd 0.064 0.285 0.526
Gd 0.285 0.526 0.064
Gd 0.785 0.564 0.026
Gd 0.564 0.026 0.785
Gd 0.026 0.785 0.564
Si 0.531 0.358 0.146
Si 0.358 0.146 0.531
Si 0.146 0.531 0.358
Si 0.646 0.858 0.031
Si 0.858 0.031 0.646
Si 0.031 0.646 0.858
S 0.721 0.111 0.190
S 0.111 0.190 0.721
S 0.190 0.721 0.111
S 0.690 0.611 0.221
S 0.611 0.221 0.690
S 0.221 0.690 0.611
S 0.321 0.322 0.135
S 0.322 0.135 0.321
S 0.135 0.321 0.322
S 0.635 0.822 0.821
S 0.822 0.821 0.635
S 0.821 0.635 0.822
S 0.701 0.411 0.380
S 0.411 0.380 0.701
S 0.380 0.701 0.411
S 0.880 0.911 0.201
S 0.911 0.201 0.880
S 0.201 0.880 0.911
S 0.377 0.647 0.914
S 0.647 0.914 0.377
S 0.914 0.377 0.647
S 0.414 0.147 0.877
S 0.147 0.877 0.414
S 0.877 0.414 0.147
```

## Properties
Its total energy is -7.827 eV/atom. The calculation puts the polymorph energy (0 for the lowest one) at 0.028 eV/atom. The magnetization comes out at 27.96 μB/cell. As for the raw formation energy: -1.399 eV per atom.

***

[2]
## Gd2SiS (PBE-GGA)

Data for an optimized crystal structure of Gd2SiS. Values from VASP.

Quantum ESPRESSO input file:
```
&SYSTEM
  ibrav = 0, nat = 4, ntyp = 3
/
ATOMIC_SPECIES
S 32.06 S.upf
Gd 157.25 Gd.upf
Si 28.09 Si.upf
CELL_PARAMETERS angstrom
4.063 0.000 0.000
2.031 3.519 0.000
2.031 1.173 6.726
ATOMIC_POSITIONS crystal
S 0.500 0.500 0.500
Gd 0.750 0.750 0.751
Gd 0.250 0.250 0.249
Si 0.000 0.000 0.000
```

## Properties
Its total energy is -10.797 eV/atom. The magnetization comes out at 13.93 μB/cell. As for the raw formation energy: -1.369 eV per atom.

***

Q: What is the magnetization in the first record?
A: 27.96 μB/cell

***

Q: What is the magnetization in the first record?
A: 27.96 μB/cell